No. 1
The following is a PBE-GGA calculation of crystalline Tm5ScRu3 at its relaxed geometry, from the Alexandria database.

Lattice parameters (Å, degrees): 7.400 7.400 9.521 74.42 74.42 73.02
Fractional coordinates of all 18 atoms:
1 Tm 0.535 0.535 0.654
2 Tm 0.378 0.989 0.357
3 Tm 0.699 0.301 0.000
4 Ru 0.000 0.000 0.000
5 Ru 0.695 0.695 0.374
6 Sc 0.926 0.926 0.284
7 Tm 0.011 0.622 0.643
8 Sc 0.074 0.074 0.716
9 Tm 0.465 0.465 0.346
10 Ru 0.664 0.664 0.837
11 Ru 0.000 0.000 0.500
12 Tm 0.763 0.763 0.054
13 Tm 0.989 0.378 0.357
14 Tm 0.301 0.699 0.000
15 Ru 0.336 0.336 0.163
16 Tm 0.622 0.011 0.643
17 Tm 0.237 0.237 0.946
18 Ru 0.305 0.305 0.626

Calculated values
Total magnetization in μB per cell: 0.0
V in A^3/atom: 26.11
E_form in kJ/mol of formula units: -204.5
N(E_F) in states/eV/cell: 6.54

***

No. 2
The following is a PBE-GGA calculation of crystalline TmSc2Ru3 at its relaxed geometry, from the Alexandria database.

Lattice parameters (Å, degrees): 3.277 4.610 7.263 108.51 90.00 90.00
Fractional coordinates of all 6 atoms:
1 Ru 0.500 0.500 0.000
2 Ru 0.500 0.171 0.342
3 Ru 0.500 0.829 0.658
4 Sc 0.000 0.669 0.338
5 Sc 0.000 0.331 0.662
6 Tm 0.000 0.000 0.000

Calculated values
ΔE to the lowest computed polymorph in meV/atom: 4
Total magnetization in μB per cell: 0.0
V in A^3/atom: 17.34
E_form in kJ/mol of formula units: -281.3
N(E_F) in states/eV/cell: 7.17

***

No. 3
The following is a PBE-GGA calculation of crystalline Tm3Sc7Ru4 at its relaxed geometry, from the Alexandria database.

Lattice parameters (Å, degrees): 4.011 8.645 9.725 70.25 78.10 76.59
Fractional coordinates of all 14 atoms:
1 Sc 0.168 0.587 0.077
2 Sc 0.491 0.249 0.770
3 Sc 0.679 0.158 0.483
4 Ru 0.888 0.909 0.316
5 Ru 0.675 0.419 0.232
6 Tm 0.691 0.822 0.796
7 Ru 0.112 0.091 0.684
8 Ru 0.325 0.581 0.768
9 Sc 0.321 0.842 0.517
10 Tm 0.000 0.500 0.500
11 Sc 0.832 0.413 0.923
12 Sc 0.509 0.751 0.230
13 Tm 0.309 0.178 0.204
14 Sc 0.000 0.000 0.000

Calculated values
Total magnetization in μB per cell: 0.0
V in A^3/atom: 21.83
E_form in kJ/mol of formula units: -432.1
N(E_F) in states/eV/cell: 13.37

***

No. 4
The following is a PBE-GGA calculation of crystalline TmSc3Ru2 at its relaxed geometry, from the Alexandria database.

Lattice parameters (Å, degrees): 3.251 3.251 11.445 90.00 90.00 90.00
Fractional coordinates of all 6 atoms:
1 Sc 0.000 0.000 0.729
2 Sc 0.000 0.000 0.000
3 Sc 0.000 0.000 0.271
4 Ru 0.500 0.500 0.855
5 Ru 0.500 0.500 0.145
6 Tm 0.500 0.500 0.500

Calculated values
Total magnetization in μB per cell: 0.0
V in A^3/atom: 20.16
E_form in kJ/mol of formula units: -240.6
N(E_F) in states/eV/cell: 4.33